The following is a DFT calculation (PBE) of CaTl3Pb3 after structural relaxation.

ΔE to the lowest computed polymorph   0.000 eV/atom
Density of states at the Fermi level   15.44 states/eV per cell
Magnetic moment   0.0000 μB per atom
DFT formation energy   -0.058 eV per atom

Cell lengths 9.490, 10.096, 9.549 Å; angles 90.00, 90.00, 90.00 degrees
Space group Cmmm (No. 65)
Unique sites:
1 Ca 0.230 0.000 0.000
2 Tl 0.000 0.245 0.000
3 Tl 0.000 0.273 0.500
4 Tl 0.206 0.000 0.500
5 Pb 0.000 0.500 0.236
6 Pb 0.250 0.250 0.246